# 1
Below is an optimized crystal structure of Tb3Zn9Si2, with properties calculated at the GGA-PBE level.

Results
Uncorrected formation energy (eV/atom): -0.3393
V (Å³ per atom): 17.91

Cell and atoms, written as CIF:
```
data_Tb3Zn9Si2
_chemical_formula_sum 'Tb6 Zn18 Si4'
_symmetry_space_group_name_H-M 'I m m m'
_symmetry_Int_Tables_number 71
_symmetry_space_group_name_Hall '-I 2 2'
_cell_length_a 4.265
_cell_length_b 9.664
_cell_length_c 12.163
_cell_angle_alpha 90.00
_cell_angle_beta 90.00
_cell_angle_gamma 90.00
loop_
_atom_site_label
_atom_site_type_symbol
_atom_site_fract_x
_atom_site_fract_y
_atom_site_fract_z
Tb1 Tb 0.000 0.000 0.000
Tb2 Tb 0.000 0.000 0.313
Zn1 Zn 0.000 0.274 0.138
Zn2 Zn 0.000 0.371 0.338
Zn3 Zn 0.000 0.500 0.000
Si1 Si 0.000 0.212 0.500
```



# 2
Below is an optimized crystal structure of HfPaTe, with properties calculated at the GGA-PBE level.

Results
Energy relative to the lowest polymorph listed for this composition (meV/atom): 119
Uncorrected formation energy (eV/atom): -0.1437
V (Å³ per atom): 24.97

Cell and atoms, written as CIF:
```
data_HfPaTe
_chemical_formula_sum 'Hf1 Pa1 Te1'
_symmetry_space_group_name_H-M 'P -6 m 2'
_symmetry_Int_Tables_number 187
_symmetry_space_group_name_Hall 'P -6 2'
_cell_length_a 4.9588
_cell_length_b 4.9588
_cell_length_c 3.5182
_cell_angle_alpha 90.00
_cell_angle_beta 90.00
_cell_angle_gamma 120.00
loop_
_atom_site_label
_atom_site_type_symbol
_atom_site_fract_x
_atom_site_fract_y
_atom_site_fract_z
Hf1 Hf 0.0000 0.0000 0.0000
Pa1 Pa 0.6667 0.3333 0.5000
Te1 Te 0.3333 0.6667 0.0000
```



# 3
Below is an optimized crystal structure of Na2ZrHgTe4, with properties calculated at the GGA-PBE level.

Results
Uncorrected formation energy (eV/atom): -0.6576
V (Å³ per atom): 30.94

Cell and atoms, written as CIF:
```
data_Na2ZrHgTe4
_chemical_formula_sum 'Na2 Zr1 Hg1 Te4'
_symmetry_space_group_name_H-M 'P 1 2/m 1'
_symmetry_Int_Tables_number 10
_symmetry_space_group_name_Hall '-P 2y'
_cell_length_a 7.894
_cell_length_b 4.236
_cell_length_c 7.903
_cell_angle_alpha 90.00
_cell_angle_beta 110.52
_cell_angle_gamma 90.00
loop_
_atom_site_label
_atom_site_type_symbol
_atom_site_fract_x
_atom_site_fract_y
_atom_site_fract_z
Na1 Na 0.000 0.000 0.000
Na2 Na 0.500 0.500 0.000
Zr1 Zr 0.000 0.500 0.500
Hg1 Hg 0.500 0.000 0.500
Te1 Te 0.217 0.000 0.736
Te2 Te 0.251 0.500 0.294
```



# 4
Below is an optimized crystal structure of SrTcAu, with properties calculated at the GGA-PBE level.

Results
Energy relative to the lowest polymorph listed for this composition (meV/atom): 503
V (Å³ per atom): 22.31
E_form (eV/f.u.): 2.48

Cell and atoms, written as CIF:
```
data_SrTcAu
_chemical_formula_sum 'Sr1 Tc1 Au1'
_symmetry_space_group_name_H-M 'P 3 m 1'
_symmetry_Int_Tables_number 156
_symmetry_space_group_name_Hall 'P 3 -2"'
_cell_length_a 3.2693
_cell_length_b 3.2693
_cell_length_c 7.2297
_cell_angle_alpha 90.00
_cell_angle_beta 90.00
_cell_angle_gamma 120.00
loop_
_atom_site_label
_atom_site_type_symbol
_atom_site_fract_x
_atom_site_fract_y
_atom_site_fract_z
Sr1 Sr 0.0000 0.0000 0.0000
Tc1 Tc 0.6667 0.3333 0.3455
Au1 Au 0.3333 0.6667 0.6348
```